Run A
This record from the Alexandria database describes crystalline BeNiF3 at its relaxed geometry. The functional is PBE+U.

Summary:
- Spin magnetization: 0.20 μB/atom
- DOS at the Fermi energy: 1.54 states/eV per atom
- Calculated volume: 44.73 Å³ per cell

Cell and atoms, written as POSCAR:
```
BeNiF3
1.0
3.550 0.000 0.000
0.000 3.550 0.000
0.000 0.000 3.550
Be Ni F
1 1 3
Direct
0.000 0.000 0.000
0.500 0.500 0.500
0.000 0.000 0.500
0.000 0.500 0.000
0.500 0.000 0.000
```

***

Run B
This record from the Alexandria database describes crystalline BeNiF3 at its relaxed geometry. The functional is PBE+U.

Summary:
- Spin magnetization: 0.58 μB/atom
- DOS at the Fermi energy: 0.17 states/eV per atom
- Calculated volume: 62.55 Å³ per cell

Cell and atoms, written as POSCAR:
```
BeNiF3
1.0
3.970 0.000 0.000
0.000 3.970 0.000
0.000 0.000 3.970
Be Ni F
1 1 3
Direct
0.000 0.000 0.000
0.500 0.500 0.500
0.000 0.500 0.500
0.500 0.000 0.500
0.500 0.500 0.000
```

***

Most stable pick: run A. Distance to second place: 44.5 kJ/mol of atoms.

***

Run A
This record from the Alexandria database describes crystalline BeNi2F at its relaxed geometry. The functional is PBE+U.

Summary:
- Spin magnetization: 0.23 μB/atom
- DOS at the Fermi energy: 0.58 states/eV per atom
- Calculated volume: 155.77 Å³ per cell

Cell and atoms, written as POSCAR:
```
BeNi2F
1.0
5.381 0.000 0.000
0.000 5.381 0.000
0.000 0.000 5.381
Be Ni F
4 8 4
Direct
0.000 0.000 0.000
0.000 0.500 0.500
0.500 0.000 0.500
0.500 0.500 0.000
0.250 0.250 0.250
0.250 0.250 0.750
0.250 0.750 0.250
0.250 0.750 0.750
0.750 0.250 0.250
0.750 0.250 0.750
0.750 0.750 0.250
0.750 0.750 0.750
0.000 0.000 0.500
0.000 0.500 0.000
0.500 0.000 0.000
0.500 0.500 0.500
```

***

Run B
This record from the Alexandria database describes crystalline BeNi2F at its relaxed geometry. The functional is PBE+U.

Summary:
- Spin magnetization: 0.51 μB/atom
- DOS at the Fermi energy: 0.17 states/eV per atom
- Calculated volume: 187.41 Å³ per cell

Cell and atoms, written as POSCAR:
```
BeNi2F
1.0
5.973 0.000 0.000
0.000 5.973 0.000
0.000 0.000 5.253
Be Ni F
4 8 4
Direct
0.000 0.000 0.000
0.000 0.500 0.250
0.500 0.000 0.750
0.500 0.500 0.500
0.235 0.250 0.625
0.250 0.735 0.875
0.250 0.765 0.375
0.265 0.250 0.125
0.735 0.750 0.125
0.750 0.235 0.375
0.750 0.265 0.875
0.765 0.750 0.625
0.000 0.000 0.500
0.000 0.500 0.750
0.500 0.000 0.250
0.500 0.500 0.000
```

***

Most stable pick: run B. Distance to second place: 40.7 kJ/mol of atoms.

***

Run A
This record from the Alexandria database describes crystalline BeNi2F2 at its relaxed geometry. The functional is PBE+U.

Summary:
- Spin magnetization: 0.57 μB/atom
- DOS at the Fermi energy: 0.43 states/eV per atom
- Calculated volume: 111.17 Å³ per cell

Cell and atoms, written as POSCAR:
```
BeNi2F2
1.0
3.351 0.000 0.000
0.000 3.351 0.000
0.000 0.000 9.901
Be Ni F
2 4 4
Direct
0.000 0.000 0.000
0.500 0.500 0.500
0.000 0.000 0.387
0.000 0.000 0.613
0.500 0.500 0.113
0.500 0.500 0.887
0.000 0.500 0.250
0.000 0.500 0.750
0.500 0.000 0.250
0.500 0.000 0.750
```

***

Run B
This record from the Alexandria database describes crystalline BeNi2F2 at its relaxed geometry. The functional is PBE+U.

Summary:
- Spin magnetization: 0.20 μB/atom
- DOS at the Fermi energy: 0.24 states/eV per atom
- Calculated volume: 124.19 Å³ per cell

Cell and atoms, written as POSCAR:
```
BeNi2F2
1.0
5.712 0.000 0.000
0.000 5.712 0.000
0.000 0.000 3.806
Be Ni F
2 4 4
Direct
0.000 0.000 0.000
0.500 0.500 0.000
0.158 0.342 0.000
0.342 0.842 0.000
0.658 0.158 0.000
0.842 0.658 0.000
0.174 0.326 0.500
0.326 0.826 0.500
0.674 0.174 0.500
0.826 0.674 0.500
```

***

Most stable pick: run B. Distance to second place: 1.8 kJ/mol of atoms.